Record 1
Material: YTmUO6
Method: DFT, PBE
State: relaxed

a b c (Å): 5.7191 5.7191 9.4247
angles (deg): 90.00 90.00 120.00
With the nearest neighbours (Å) after each atom.
Space group P-31c (No. 163)
Symmetry-distinct sites (fractional):
Y  0.0000  0.0000  0.0000 (multiplicity 2)  6 O 2.35
Tm  0.3333  0.6667  0.2500 (multiplicity 2)  6 O 2.24
U  0.3333  0.6667  0.7500 (multiplicity 2)  6 O 2.10
O  0.0181  0.3536  0.6347 (multiplicity 12)  1 U 2.10, 1 Tm 2.24, 1 Y 2.35

---

Record 2
Material: TmZrUO6
Method: DFT, PBE
State: relaxed

a b c (Å): 5.6290 5.6290 9.1546
angles (deg): 90.00 90.00 120.00
With the nearest neighbours (Å) after each atom.
Space group P-31c (No. 163)
Symmetry-distinct sites (fractional):
Tm  0.3333  0.6667  0.2500 (multiplicity 2)  6 O 2.25
Zr  0.0000  0.0000  0.0000 (multiplicity 2)  6 O 2.17
U  0.3333  0.6667  0.7500 (multiplicity 2)  6 O 2.17
O  0.0111  0.3298  0.6280 (multiplicity 12)  1 U 2.17, 1 Zr 2.17, 1 Tm 2.25

---

The following formation energy from raw total energies values (in eV per atom) correspond, in order, to the records above: -3.370 -3.264.